# YBe2Pd5

YBe2Pd5 after structural relaxation (GGA-PBE, the Alexandria database).

abc: 3.883 6.212 6.212
angles: 61.58 71.79 71.79
Sites, in units of the cell vectors:
Y: 0.000 0.000 0.000
Be: 0.223 0.277 0.277
Pd: 0.648 0.566 0.138
Be: 0.777 0.723 0.723
Pd: 0.000 0.500 0.500
Pd: 0.648 0.138 0.566
Pd: 0.352 0.434 0.862
Pd: 0.352 0.862 0.434

Computed properties:
Crystal system = orthorhombic
Formation energy = -61.0 kJ/mol of atoms
Symmetry = Immm (71)
E = -5.62 eV/atom